DFT (GGA-PBEsol) results for crystalline HfTcS3 at its relaxed geometry.

Structure (CIF):
```
data_HfTcS3
_chemical_formula_sum 'Hf1 Tc1 S3'
_space_group_name_H-M_alt 'P m -3 m'
_space_group_IT_number 221
_space_group_name_Hall '-P 4 2 3'
_cell_length_a 4.513
_cell_length_b 4.513
_cell_length_c 4.513
_cell_angle_alpha 90.00
_cell_angle_beta 90.00
_cell_angle_gamma 90.00
loop_
_atom_site_label
_atom_site_type_symbol
_atom_site_fract_x
_atom_site_fract_y
_atom_site_fract_z
Hf1 Hf 0.000 0.000 0.000
Tc1 Tc 0.500 0.500 0.500
S1 S 0.000 0.500 0.500
```

The calculation puts the uncorrected formation energy at 86 meV/atom.